{
  "formula": "BaSi2Ir",
  "functional": "SCAN",
  "state": "single point on PBEsol structure",
  "total_magnetization_mub_per_fu": 0.0,
  "raw_formation_energy_mev_per_atom": -709,
  "cell": [[2.0434, 1.1798, 5.8824], [-2.0434, 1.1798, 5.8824], [0.0000, -2.3596, 5.8824]],
  "species": ["Ba", "Si", "Si", "Ir"],
  "frac_coords": [[0.0000, 0.0000, 0.0000], [0.2033, 0.2033, 0.2033], [0.7967, 0.7967, 0.7967], [0.5000, 0.5000, 0.5000]]
}